{
  "formula": "Mg3Cu4",
  "functional": "PBE",
  "state": "optimized geometry",
  "dft_energy_ry_per_atom": -0.1965,
  "magmom_total_mub_per_fu": 0.00,
  "rho_g_cm3": 3.92,
  "crystal_system": "cubic",
  "formation_enthalpy_0k_ev_per_atom": 0.350,
  "cell": [[5.176, 0.000, 0.000], [0.000, 5.176, 0.000], [0.000, 0.000, 5.176]],
  "species": ["Mg", "Mg", "Mg", "Cu", "Cu", "Cu", "Cu"],
  "frac_coords": [[0.000, 0.000, 0.500], [0.000, 0.500, 0.000], [0.500, 0.000, 0.000], [0.334, 0.334, 0.334], [0.334, 0.666, 0.666], [0.666, 0.334, 0.666], [0.666, 0.666, 0.334]]
}